Below is a geometry-optimized Pr3Sm4Er3 structure, with properties calculated at the GGA-PBE level.

Cell: 3.7717 9.4893 9.4893 Å, 90.61 90.00 90.00°
Fractional coordinates of all 10 atoms:
Sm  0.0000  0.3687  0.6313
Er  0.5000  0.1719  0.8281
Er  0.0000  0.0030  0.5064
Er  0.0000  0.4936  0.9970
Pr  0.5000  0.6706  0.6723
Sm  0.0000  0.8754  0.8690
Sm  0.0000  0.6292  0.3708
Pr  0.5000  0.3277  0.3294
Pr  0.5000  0.8289  0.1711
Sm  0.0000  0.1310  0.1246

Output
Formation energy from the elements in eV/atom: 0.114
Total moment in μB per formula unit: 0.0
Fermi-level density of states in states/eV/cell: 9.14
Final energy in eV per cell: -45.76

=====

Below is a geometry-optimized Pm12HoSi7 structure, with properties calculated at the GGA-PBE level.

Cell: 9.3370 9.3370 9.3370 Å, 111.12 111.12 111.12°
Fractional coordinates of all 20 atoms:
Si  0.9074  0.6009  0.8531
Ho  0.0000  0.0000  0.0000
Si  0.0926  0.3991  0.1469
Pm  0.7747  0.9669  0.2963
Pm  0.4932  0.1702  0.4377
Pm  0.5068  0.8298  0.5623
Si  0.8531  0.9074  0.6009
Si  0.3991  0.1469  0.0926
Pm  0.2963  0.7747  0.9669
Pm  0.7037  0.2253  0.0331
Pm  0.2253  0.0331  0.7037
Pm  0.0331  0.7037  0.2253
Pm  0.8298  0.5623  0.5068
Pm  0.9669  0.2963  0.7747
Si  0.6009  0.8531  0.9074
Pm  0.1702  0.4377  0.4932
Si  0.1469  0.0926  0.3991
Pm  0.5623  0.5068  0.8298
Pm  0.4377  0.4932  0.1702
Si  0.5000  0.5000  0.5000

Output
Total moment in μB per formula unit: 0.0
Fermi-level density of states in states/eV/cell: 20.69
Final energy in eV per cell: -106.14
Formation energy (no corrections) in kcal/mol of atoms: -7.600

=====

Below is a geometry-optimized KRhPb2 structure, with properties calculated at the GGA-PBE level.

Cell: 5.1382 5.1382 5.1382 Å, 60.00 60.00 60.00°
Fractional coordinates of all 4 atoms:
Rh  0.5000  0.5000  0.5000
K  0.0000  0.0000  0.0000
Pb  0.2500  0.2500  0.2500
Pb  0.7500  0.7500  0.7500

Output
Formation energy from the elements in eV/atom: 0.180
Total moment in μB per formula unit: 0.0
Fermi-level density of states in states/eV/cell: 2.06
Final energy in eV per cell: -15.15

=====

Below is a geometry-optimized CsBiMoRh2 structure, with properties calculated at the GGA-PBE level.

Cell: 4.8494 5.6213 4.8494 Å, 90.00 90.00 90.00°
Fractional coordinates of all 5 atoms:
Cs  0.0000  0.5000  0.0000
Rh  0.5000  0.0000  0.0000
Mo  0.0000  0.0000  0.0000
Bi  0.5000  0.5000  0.5000
Rh  0.0000  0.0000  0.5000

Output
Formation energy from the elements in eV/atom: 1.290
Total moment in μB per formula unit: 0.0
Fermi-level density of states in states/eV/cell: 5.98
Final energy in eV per cell: -23.82

=====

Below is a geometry-optimized SrLaDy structure, with properties calculated at the GGA-PBE level.

Cell: 6.2577 6.2577 12.5733 Å, 64.27 64.27 33.39°
Fractional coordinates of all 6 atoms:
Sr  0.9574  0.9574  0.2545
Dy  0.4815  0.4815  0.7365
Sr  0.7958  0.7958  0.0528
La  0.1471  0.1471  0.8674
La  0.6061  0.6061  0.4400
Dy  0.2717  0.2717  0.5709

Output
Formation energy from the elements in eV/atom: 0.248
Total moment in μB per formula unit: 0.0
Fermi-level density of states in states/eV/cell: 10.02
Final energy in eV per cell: -20.93

=====

Below is a geometry-optimized KSN3 structure, with properties calculated at the GGA-PBE level.

Cell: 3.7462 3.7462 3.7462 Å, 90.00 90.00 90.00°
Each line ends with the local moment (μB).
Fractional coordinates of all 5 atoms:
K  0.5000  0.5000  0.5000  0.01
N  0.5000  0.0000  0.0000  0.15
N  0.0000  0.0000  0.5000  0.20
N  0.0000  0.5000  0.0000  0.17
S  0.0000  0.0000  0.0000  -0.01

Output
Total moment in μB per formula unit: 0.7
Fermi-level density of states in states/eV/cell: 4.20
Final energy in eV per cell: -21.21
Formation energy (no corrections) in kcal/mol of atoms: 41.453

=====

Below is a geometry-optimized Rb8As2S structure, with properties calculated at the GGA-PBE level.

Cell: 5.8159 8.2545 10.8592 Å, 109.80 105.53 90.00°
Fractional coordinates of all 11 atoms:
Rb  0.4044  0.5738  0.8089
Rb  0.0227  0.7935  0.0454
Rb  0.2167  0.3076  0.4334
Rb  0.7833  0.6924  0.5666
S  0.5000  0.0000  0.0000
Rb  0.9773  0.2065  0.9546
Rb  0.5956  0.4262  0.1911
As  0.8308  0.3240  0.6615
Rb  0.6641  0.9523  0.3282
Rb  0.3359  0.0477  0.6718
As  0.1692  0.6760  0.3385

Output
Total moment in μB per formula unit: 0.0
Fermi-level density of states in states/eV/cell: 16.13
Final energy in eV per cell: -26.04
Formation energy (no corrections) in kcal/mol of atoms: -10.215

=====

Below is a geometry-optimized HoTmScHg structure, with properties calculated at the GGA-PBE level.

Cell: 5.2719 5.2719 5.2719 Å, 60.00 60.00 60.00°
Each line ends with the local moment (μB).
Fractional coordinates of all 4 atoms:
Hg  0.5000  0.5000  0.5000  0.00
Tm  0.7500  0.7500  0.7500  0.16
Ho  0.2500  0.2500  0.2500  0.14
Sc  0.0000  0.0000  0.0000  0.27

Output
Formation energy from the elements in eV/atom: -0.070
Total moment in μB per formula unit: 0.7
Fermi-level density of states in states/eV/cell: 5.68
Final energy in eV per cell: -15.96